Sr3Si2: single point on PBEsol structure, meta-GGA SCAN.

Cell: 5.3370 5.3370 6.5061 Å, 90.00 90.00 120.00°
With the nearest neighbours (Å) after each atom.
Sites, in units of the cell vectors:
Sr (0.0000, 0.0000, 0.0000)  6 Si 3.31
Sr (0.3333, 0.6667, 0.3183)  5 Si 3.20-3.28
Sr (0.6667, 0.3333, 0.6817)  5 Si 3.20-3.28
Si (0.3333, 0.6667, 0.8144)  8 Sr 3.20-3.31
Si (0.6667, 0.3333, 0.1856)  8 Sr 3.20-3.31

ΔE_f (raw), eV per atom: -0.209
Magnetic moment, μB/atom: 0.303
SG: No. 164
DOS at the Fermi energy, states/eV/cell: 3.85